1.
Density functional theory data (PBE) for a relaxed Cs3KAu2O crystal.

E: -2.79 eV/atom

Cell lengths 5.381, 5.897, 18.509 Å; angles 90.00, 90.00, 90.00 degrees
Space group Immm (No. 71)
One atom of each set of equivalent atoms:
Cs1 0.000 0.000 0.000
Cs2 0.000 0.500 0.154
K1 0.000 0.000 0.500
Au1 0.000 0.500 0.360
O1 0.000 0.500 0.000

---

2.
Density functional theory data (PBE) for a relaxed Cs6KAu2O crystal.

E: -2.21 eV/atom

Cell lengths 8.844, 8.854, 9.926 Å; angles 90.04, 116.45, 119.95 degrees
Space group P1 (No. 1)
One atom of each set of equivalent atoms:
Cs1 0.000 0.000 0.000
Cs2 0.042 0.799 0.396
Cs3 0.185 0.332 0.396
Cs4 0.499 0.589 0.000
Cs5 0.588 0.089 0.000
Cs6 0.652 0.943 0.396
K1 0.837 0.464 0.711
Au1 0.477 0.782 0.672
Au2 0.569 0.329 0.308
O1 0.832 0.961 0.204

---

3.
Density functional theory data (PBE) for a relaxed CsK2AuO2 crystal.

E: -3.75 eV/atom

Cell lengths 12.629, 7.467, 6.405 Å; angles 90.00, 90.00, 90.00 degrees
Space group Pnma (No. 62)
One atom of each set of equivalent atoms:
Cs1 0.096 0.250 0.188
K1 0.139 0.501 0.645
Au1 0.121 0.750 0.181
O1 0.019 0.750 0.426
O2 0.224 0.750 0.935

---

> Look up the E of the first one.

-2.79 eV/atom